{
  "formula": "Ba2VF6",
  "functional": "PBE+U",
  "state": "optimized geometry",
  "lattice": [[5.7632, 0.0000, -0.4725], [0.0000, 6.9783, 0.0000], [0.0533, 0.0000, 8.2664]],
  "species": ["F", "F", "F", "Ba", "F", "F", "V", "Ba", "F", "F", "F", "F", "Ba", "F", "F", "V", "Ba", "F"],
  "fractional_positions": [[0.6933, 0.1467, 0.5468], [0.3862, 0.5441, 0.7567], [0.3067, 0.8533, 0.4532], [0.0390, 0.5988, 0.2593], [0.8680, 0.7256, 0.5626], [0.1320, 0.2744, 0.4374], [0.0000, 0.0000, 0.5000], [0.4610, 0.0988, 0.2407], [0.3680, 0.7744, 0.0626], [0.8862, 0.9559, 0.2567], [0.6138, 0.4559, 0.2433], [0.8067, 0.6467, 0.9532], [0.9610, 0.4012, 0.7407], [0.1138, 0.0441, 0.7433], [0.6320, 0.2256, 0.9374], [0.5000, 0.5000, 0.0000], [0.5390, 0.9012, 0.7593], [0.1933, 0.3533, 0.0468]],
  "m_tot_mub_per_fu": 3.000,
  "energy_ev_per_cell": -107.0
}